A relaxed Fe2SiO2 crystal, computed with PBE with a Hubbard U.

As for the relative energy among the computed polymorphs: 56 meV/atom. The total moment is 1.51 μB per atom. The space-group type is P4/mbm. The total energy is -5.613 eV/atom.

```
Fe2SiO2
1.0
6.4713 0.0000 0.0000
0.0000 6.4713 0.0000
0.0000 0.0000 2.7559
Fe Si O
4 2 4
Cartesian
1.0155 2.2202 0.0000
2.2202 5.4558 0.0000
4.2511 1.0155 0.0000
5.4558 4.2511 0.0000
0.0000 0.0000 1.3779
3.2356 3.2356 1.3779
0.9475 4.1832 1.3779
2.2881 0.9475 1.3779
4.1832 5.5237 1.3779
5.5237 2.2881 1.3779
```